Material: TmPuAg4
Method: DFT, GGA-PBE
State: optimized geometry

Unit cell a=5.687 b=5.687 c=5.687 alpha=60.00 beta=60.00 gamma=60.00
Positions (direct):
Tm 0.000 0.000 0.000
Ag 0.625 0.625 0.124
Ag 0.625 0.124 0.625
Ag 0.625 0.625 0.625
Ag 0.124 0.625 0.625
Pu 0.250 0.250 0.250

Computed properties:
E_form = -0.2 eV per formula unit
density = 10.78 g/cm³
total moment = 6.22 μB/f.u.